Record 1
First-principles (PBE) data for PuSnAu3 after structural relaxation, as listed in Alexandria.

Structure (POSCAR):
```
PuSnAu3
1.0
5.9857 0.0000 0.0000
0.0000 12.9642 0.0000
0.0000 0.0000 5.8247
Pu Sn Au
4 4 12
direct
0.0000 0.0000 0.0000
0.0000 0.5000 0.0000
0.5000 0.0000 0.5000
0.5000 0.5000 0.5000
0.1718 0.2500 0.1566
0.3282 0.7500 0.6566
0.6718 0.2500 0.3434
0.8282 0.7500 0.8434
0.0052 0.6039 0.5010
0.0052 0.8961 0.5010
0.1791 0.7500 0.1639
0.3209 0.2500 0.6639
0.4948 0.1039 0.0010
0.4948 0.3961 0.0010
0.5052 0.6039 0.9990
0.5052 0.8961 0.9990
0.6791 0.7500 0.3361
0.8209 0.2500 0.8361
0.9948 0.1039 0.4990
0.9948 0.3961 0.4990
```

Computed properties:
Space group: Pnma
E_form, eV/atom: -0.2907
Distance to the lowest polymorph of the same formula, kJ/mol of formula units: 0
Calculated volume, Å³ per cell: 452.0

=====

Record 2
First-principles (PBE) data for Pu2Sn3Au4 after structural relaxation, as listed in Alexandria.

Structure (POSCAR):
```
Pu2Sn3Au4
1.0
3.1992 -8.0824 0.0000
3.1992 8.0824 0.0000
0.0000 0.0000 8.1447
Pu Sn Au
4 6 8
direct
0.1018 0.8982 0.9025
0.3982 0.6018 0.4025
0.6018 0.3982 0.5975
0.8982 0.1018 0.0975
0.0000 0.0000 0.5000
0.0198 0.4802 0.7500
0.4802 0.0198 0.2500
0.5000 0.5000 0.0000
0.5198 0.9802 0.7500
0.9802 0.5198 0.2500
0.1745 0.8255 0.5311
0.1938 0.3062 0.7500
0.3062 0.1938 0.2500
0.3255 0.6745 0.0311
0.6745 0.3255 0.9689
0.6938 0.8062 0.7500
0.8062 0.6938 0.2500
0.8255 0.1745 0.4689
```

Computed properties:
Space group: Cmce
E_form, eV/atom: -0.3056
Calculated volume, Å³ per cell: 421.2

=====

Record 3
First-principles (PBE) data for Pu3Sn3Au8 after structural relaxation, as listed in Alexandria.

Structure (POSCAR):
```
Pu3Sn3Au8
1.0
7.3921 -2.4541 0.0000
7.3921 2.4541 0.0000
-6.9868 0.0000 8.4007
Pu Sn Au
3 3 8
direct
0.0000 0.0000 0.0000
0.0681 0.0681 0.7789
0.9319 0.9319 0.2211
0.4008 0.4008 0.7427
0.5000 0.5000 0.5000
0.5992 0.5992 0.2573
0.1503 0.1503 0.5886
0.2150 0.2150 0.3821
0.2765 0.2765 0.1703
0.3487 0.3487 0.9713
0.6513 0.6513 0.0287
0.7235 0.7235 0.8297
0.7850 0.7850 0.6179
0.8497 0.8497 0.4114
```

Computed properties:
Space group: C2/m
E_form, eV/atom: -0.3083
Calculated volume, Å³ per cell: 304.8

=====

Record 4
First-principles (PBE) data for Pu2Sn2Au15 after structural relaxation, as listed in Alexandria.

Structure (POSCAR):
```
Pu2Sn2Au15
1.0
4.9105 2.8351 4.7306
-4.9105 2.8351 4.7306
0.0000 -5.6701 4.7306
Pu Sn Au
2 2 15
direct
0.1446 0.1446 0.1446
0.8554 0.8554 0.8554
0.3984 0.3984 0.3984
0.6016 0.6016 0.6016
0.0000 0.5000 0.5000
0.1631 0.1631 0.6759
0.1634 0.5000 0.8366
0.1631 0.6759 0.1631
0.1634 0.8366 0.5000
0.3241 0.8369 0.8369
0.5000 0.0000 0.5000
0.5000 0.1634 0.8366
0.5000 0.5000 0.0000
0.5000 0.8366 0.1634
0.6759 0.1631 0.1631
0.8366 0.1634 0.5000
0.8369 0.3241 0.8369
0.8366 0.5000 0.1634
0.8369 0.8369 0.3241
```

Computed properties:
Space group: R-3m
E_form, eV/atom: -0.1596
Calculated volume, Å³ per cell: 395.1

=====

Record 5
First-principles (PBE) data for PuSnAu3 after structural relaxation, as listed in Alexandria.

Structure (POSCAR):
```
PuSnAu3
1.0
4.0139 -5.7885 0.0000
4.0139 5.7885 0.0000
0.0000 0.0000 9.6647
Pu Sn Au
4 4 12
direct
0.1304 0.8696 0.7500
0.3622 0.6378 0.2500
0.6378 0.3622 0.7500
0.8696 0.1304 0.2500
0.0000 0.5000 0.0000
0.0000 0.5000 0.5000
0.5000 0.0000 0.0000
0.5000 0.0000 0.5000
0.1016 0.8984 0.0938
0.1016 0.8984 0.4062
0.1976 0.4487 0.7500
0.3233 0.3233 0.0000
0.3233 0.3233 0.5000
0.4487 0.1976 0.2500
0.5513 0.8024 0.7500
0.6767 0.6767 0.0000
0.6767 0.6767 0.5000
0.8024 0.5513 0.2500
0.8984 0.1016 0.5938
0.8984 0.1016 0.9062
```

Computed properties:
Space group: Cmcm
E_form, eV/atom: -0.2514
Distance to the lowest polymorph of the same formula, kJ/mol of formula units: 19
Calculated volume, Å³ per cell: 449.1

=====

Record 6
First-principles (PBE) data for PuSn2Au8 after structural relaxation, as listed in Alexandria.

Structure (POSCAR):
```
PuSn2Au8
1.0
6.7368 -2.4877 0.0000
6.7368 2.4877 0.0000
-4.7282 0.0000 6.7969
Pu Sn Au
1 2 8
direct
0.0000 0.0000 0.0000
0.3090 0.3090 0.2596
0.6910 0.6910 0.7404
0.0733 0.0733 0.7115
0.1841 0.1841 0.4711
0.3342 0.3342 0.9193
0.4497 0.4497 0.6979
0.5503 0.5503 0.3021
0.6658 0.6658 0.0807
0.8159 0.8159 0.5289
0.9267 0.9267 0.2885
```

Computed properties:
Space group: C2/m
E_form, eV/atom: -0.1638
Calculated volume, Å³ per cell: 227.8

=====

Record 7
First-principles (PBE) data for Pu2SnAu after structural relaxation, as listed in Alexandria.

Structure (POSCAR):
```
Pu2SnAu
1.0
3.3781 0.0000 0.0000
0.0000 3.3781 0.0000
0.0000 0.0000 8.6843
Pu Sn Au
2 1 1
direct
0.0000 0.0000 0.2381
0.0000 0.0000 0.7619
0.5000 0.5000 0.5000
0.5000 0.5000 0.0000
```

Computed properties:
Space group: P4/mmm
E_form, eV/atom: -0.3794
Calculated volume, Å³ per cell: 99.1

=====

Record 8
First-principles (PBE) data for PuSn2Au3 after structural relaxation, as listed in Alexandria.

Structure (POSCAR):
```
PuSn2Au3
1.0
4.8173 0.0000 0.0000
-0.0107 7.9355 0.0000
-2.4029 -3.9671 7.2789
Pu Sn Au
2 4 6
direct
0.1332 0.1337 0.2674
0.8668 0.8663 0.7326
0.1774 0.6785 0.3571
0.4987 0.8193 0.0000
0.5013 0.1807 0.0000
0.8226 0.3215 0.6429
0.0018 0.3272 0.0000
0.3125 0.0892 0.6243
0.3129 0.5350 0.6243
0.6871 0.4650 0.3757
0.6875 0.9108 0.3757
0.9982 0.6728 0.0000
```

Computed properties:
Space group: P-1
E_form, eV/atom: -0.2934
Distance to the lowest polymorph of the same formula, kJ/mol of formula units: 0
Calculated volume, Å³ per cell: 278.3

=====

Record 9
First-principles (PBE) data for PuSnAu after structural relaxation, as listed in Alexandria.

Structure (POSCAR):
```
PuSnAu
1.0
5.3654 0.0000 0.0000
-2.6827 4.6465 0.0000
0.0000 0.0000 9.2702
Pu Sn Au
3 3 3
direct
0.0000 0.0000 0.0000
0.3333 0.6667 0.6667
0.6667 0.3333 0.3333
0.0000 0.0000 0.3727
0.3333 0.6667 0.0394
0.6667 0.3333 0.7060
0.0000 0.0000 0.6755
0.3333 0.6667 0.3421
0.6667 0.3333 0.0088
```

Computed properties:
Space group: R3m
E_form, eV/atom: -0.2584
Calculated volume, Å³ per cell: 231.1

=====

Record 10
First-principles (PBE) data for Pu3SnAu2 after structural relaxation, as listed in Alexandria.

Structure (POSCAR):
```
Pu3SnAu2
1.0
3.3555 0.0000 0.0000
0.0000 3.3555 0.0000
0.0000 0.0000 12.9018
Pu Sn Au
3 1 2
direct
0.0000 0.0000 0.0000
0.0000 0.0000 0.3216
0.0000 0.0000 0.6784
0.5000 0.5000 0.5000
0.5000 0.5000 0.1607
0.5000 0.5000 0.8393
```

Computed properties:
Space group: P4/mmm
E_form, eV/atom: -0.3966
Calculated volume, Å³ per cell: 145.3

=====

Record 11
First-principles (PBE) data for PuSn2Au2 after structural relaxation, as listed in Alexandria.

Structure (POSCAR):
```
PuSn2Au2
1.0
4.7068 -7.9031 0.0000
4.7068 7.9031 0.0000
-1.2455 0.0000 3.1945
Pu Sn Au
2 4 4
direct
0.0489 0.9511 0.7500
0.9511 0.0489 0.2500
0.2363 0.7637 0.2500
0.4162 0.5838 0.7500
0.5838 0.4162 0.2500
0.7637 0.2363 0.7500
0.1216 0.3827 0.0032
0.3827 0.1216 0.5032
0.6173 0.8784 0.4968
0.8784 0.6173 0.9968
```

Computed properties:
Space group: C2/c
E_form, eV/atom: -0.0039
Calculated volume, Å³ per cell: 237.7

=====

Record 12
First-principles (PBE) data for Pu6Sn2Au after structural relaxation, as listed in Alexandria.

Structure (POSCAR):
```
Pu6Sn2Au
1.0
8.9004 0.0000 0.0000
-4.4502 7.7080 0.0000
0.0000 0.0000 3.2395
Pu Sn Au
6 2 1
direct
0.0000 0.3293 0.0000
0.0000 0.6707 0.0000
0.3293 0.0000 0.0000
0.3293 0.3293 0.0000
0.6707 0.0000 0.0000
0.6707 0.6707 0.0000
0.3333 0.6667 0.5000
0.6667 0.3333 0.5000
0.0000 0.0000 0.5000
```

Computed properties:
Space group: P6/mmm
E_form, eV/atom: -0.1055
Calculated volume, Å³ per cell: 222.2

=====

Record 13
First-principles (PBE) data for Pu2SnAu after structural relaxation, as listed in Alexandria.

Structure (POSCAR):
```
Pu2SnAu
1.0
4.4907 0.0000 0.0000
0.0000 4.4907 0.0000
0.0000 0.0000 4.6962
Pu Sn Au
2 1 1
direct
0.0000 0.5000 0.0000
0.5000 0.0000 0.0000
0.0000 0.0000 0.5000
0.5000 0.5000 0.5000
```

Computed properties:
Space group: P4/mmm
E_form, eV/atom: -0.3900
Calculated volume, Å³ per cell: 94.7

=====

Record 14
First-principles (PBE) data for PuSn2Au3 after structural relaxation, as listed in Alexandria.

Structure (POSCAR):
```
PuSn2Au3
1.0
5.6424 0.0000 0.0000
0.0000 16.0484 0.0000
0.0000 0.0000 3.1425
Pu Sn Au
2 4 6
direct
0.2500 0.2500 0.2490
0.7500 0.7500 0.7510
0.2500 0.5765 0.2474
0.2500 0.9235 0.2474
0.7500 0.0765 0.7526
0.7500 0.4235 0.7526
0.2500 0.0829 0.7489
0.2500 0.4171 0.7489
0.2500 0.7500 0.2506
0.7500 0.2500 0.7494
0.7500 0.5829 0.2511
0.7500 0.9171 0.2511
```

Computed properties:
Space group: Pmmn
E_form, eV/atom: -0.2021
Distance to the lowest polymorph of the same formula, kJ/mol of formula units: 53
Calculated volume, Å³ per cell: 284.6

=====

Record 15
First-principles (PBE) data for Pu3Sn2Au9 after structural relaxation, as listed in Alexandria.

Structure (POSCAR):
```
Pu3Sn2Au9
1.0
-2.2070 5.2584 6.7183
2.2070 -5.2584 6.7183
2.2070 5.2584 -6.7183
Pu Sn Au
3 2 9
direct
0.0000 0.0000 0.0000
0.2887 0.2887 0.0000
0.7113 0.7113 0.0000
0.3166 0.5000 0.8166
0.6834 0.5000 0.1834
0.0192 0.6473 0.3718
0.1466 0.8511 0.2954
0.2755 0.6473 0.6282
0.4443 0.1489 0.2954
0.5000 0.0000 0.5000
0.5557 0.8511 0.7046
0.7245 0.3527 0.3718
0.8534 0.1489 0.7046
0.9808 0.3527 0.6282
```

Computed properties:
Space group: Immm
E_form, eV/atom: -0.3190
Calculated volume, Å³ per cell: 311.9

=====

Record 16
First-principles (PBE) data for PuSnAu11 after structural relaxation, as listed in Alexandria.

Structure (POSCAR):
```
PuSnAu11
1.0
2.7952 -6.5709 0.0000
2.7952 6.5709 0.0000
-2.7892 0.0000 7.1130
Pu Sn Au
1 1 11
direct
0.0000 0.0000 0.0000
0.0000 0.0000 0.5000
0.0000 0.5000 0.0000
0.0046 0.6521 0.6601
0.2867 0.4993 0.7898
0.3479 0.9954 0.3399
0.4993 0.2867 0.7898
0.5000 0.0000 0.0000
0.5000 0.5000 0.5000
0.5007 0.7133 0.2102
0.6521 0.0046 0.6601
0.7133 0.5007 0.2102
0.9954 0.3479 0.3399
```

Computed properties:
Space group: C2/m
E_form, eV/atom: -0.0977
Calculated volume, Å³ per cell: 261.3

=====

Record 17
First-principles (PBE) data for Pu3Sn4Au2 after structural relaxation, as listed in Alexandria.

Structure (POSCAR):
```
Pu3Sn4Au2
1.0
5.4571 -2.5489 0.0000
5.4571 2.5489 0.0000
-5.3212 0.0000 7.7244
Pu Sn Au
3 4 2
direct
0.0000 0.0000 0.0000
0.3367 0.3367 0.3330
0.6633 0.6633 0.6670
0.0653 0.0653 0.3917
0.2878 0.2878 0.9446
0.7122 0.7122 0.0554
0.9347 0.9347 0.6083
0.3910 0.3910 0.7204
0.6090 0.6090 0.2796
```

Computed properties:
Space group: C2/m
E_form, eV/atom: -0.3779
Calculated volume, Å³ per cell: 214.9

=====

Record 18
First-principles (PBE) data for PuSnAu after structural relaxation, as listed in Alexandria.

Structure (POSCAR):
```
PuSnAu
1.0
3.1471 0.0000 0.0000
0.0000 3.1471 0.0000
0.0000 0.0000 16.0670
Pu Sn Au
2 2 2
direct
0.0000 0.0000 0.0000
0.5000 0.5000 0.5000
0.0000 0.0000 0.8028
0.5000 0.5000 0.3028
0.0000 0.0000 0.6315
0.5000 0.5000 0.1315
```

Computed properties:
Space group: I4mm
E_form, eV/atom: 0.0208
Calculated volume, Å³ per cell: 159.1

=====

Record 19
First-principles (PBE) data for Pu2SnAu2 after structural relaxation, as listed in Alexandria.

Structure (POSCAR):
```
Pu2SnAu2
1.0
5.0409 0.0000 0.0000
-2.5204 4.3655 0.0000
0.0000 0.0000 15.7496
Pu Sn Au
6 3 6
direct
0.0000 0.0000 0.2106
0.0000 0.0000 0.7894
0.3333 0.6667 0.4561
0.3333 0.6667 0.8773
0.6667 0.3333 0.1227
0.6667 0.3333 0.5439
0.0000 0.0000 0.0000
0.3333 0.6667 0.6667
0.6667 0.3333 0.3333
0.0000 0.0000 0.4084
0.0000 0.0000 0.5916
0.3333 0.6667 0.0751
0.3333 0.6667 0.2582
0.6667 0.3333 0.7418
0.6667 0.3333 0.9249
```

Computed properties:
Space group: R-3m
E_form, eV/atom: -0.4059
Calculated volume, Å³ per cell: 346.6

=====

Record 20
First-principles (PBE) data for Pu2SnAu after structural relaxation, as listed in Alexandria.

Structure (POSCAR):
```
Pu2SnAu
1.0
5.6991 0.0000 0.0000
0.0000 5.6991 0.0000
0.0000 0.0000 3.0937
Pu Sn Au
2 1 1
direct
0.0000 0.5000 0.0000
0.5000 0.0000 0.0000
0.0000 0.0000 0.5000
0.5000 0.5000 0.5000
```

Computed properties:
Space group: P4/mmm
E_form, eV/atom: -0.3474
Calculated volume, Å³ per cell: 100.5